Run 1
Material: Sr2LiPtN
Method: DFT, GGA-PBE
State: relaxed

Geometry as CIF:
```
data_Sr2LiPtN
_chemical_formula_sum 'Sr2 Li1 Pt1 N1'
_cell_length_a 5.222
_cell_length_b 5.222
_cell_length_c 3.956
_cell_angle_alpha 90.00
_cell_angle_beta 90.00
_cell_angle_gamma 90.00
_space_group_name_H-M_alt 'P 4/m m m'
_space_group_IT_number 123
_space_group_name_Hall '-P 4 2'
loop_
_atom_site_label
_atom_site_fract_x
_atom_site_fract_y
_atom_site_fract_z
Sr1 0.000 0.500 0.000
Li1 0.000 0.000 0.500
Pt1 0.500 0.500 0.500
N1 0.000 0.000 0.000
```

---

Run 2
Material: Sr2LiPtN
Method: DFT, GGA-PBE
State: relaxed

Geometry as CIF:
```
data_Sr2LiPtN
_chemical_formula_sum 'Sr2 Li1 Pt1 N1'
_cell_length_a 5.471
_cell_length_b 5.471
_cell_length_c 3.918
_cell_angle_alpha 90.00
_cell_angle_beta 90.00
_cell_angle_gamma 90.00
_space_group_name_H-M_alt 'P 4/m m m'
_space_group_IT_number 123
_space_group_name_Hall '-P 4 2'
loop_
_atom_site_label
_atom_site_fract_x
_atom_site_fract_y
_atom_site_fract_z
Sr1 0.000 0.500 0.000
Li1 0.000 0.000 0.500
Pt1 0.500 0.500 0.500
N1 0.500 0.500 0.000
```

---

Most stable: run 1

---

Run 1
Material: LiTe2PtN
Method: DFT, GGA-PBE
State: relaxed

Geometry as CIF:
```
data_LiTe2PtN
_chemical_formula_sum 'Li1 Te2 Pt1 N1'
_cell_length_a 5.098
_cell_length_b 5.098
_cell_length_c 3.377
_cell_angle_alpha 90.00
_cell_angle_beta 90.00
_cell_angle_gamma 90.00
_space_group_name_H-M_alt 'P 4/m m m'
_space_group_IT_number 123
_space_group_name_Hall '-P 4 2'
loop_
_atom_site_label
_atom_site_fract_x
_atom_site_fract_y
_atom_site_fract_z
Li1 0.000 0.000 0.000
Te1 0.000 0.500 0.000
Pt1 0.500 0.500 0.500
N1 0.000 0.000 0.500
```

---

Run 2
Material: LiTe2PtN
Method: DFT, GGA-PBE
State: relaxed

Geometry as CIF:
```
data_LiTe2PtN
_chemical_formula_sum 'Li1 Te2 Pt1 N1'
_cell_length_a 5.724
_cell_length_b 5.724
_cell_length_c 3.660
_cell_angle_alpha 90.00
_cell_angle_beta 90.00
_cell_angle_gamma 90.00
_space_group_name_H-M_alt 'P 4/m m m'
_space_group_IT_number 123
_space_group_name_Hall '-P 4 2'
loop_
_atom_site_label
_atom_site_fract_x
_atom_site_fract_y
_atom_site_fract_z
Li1 0.000 0.000 0.000
Te1 0.000 0.500 0.500
Pt1 0.500 0.500 0.500
N1 0.500 0.500 0.000
```

---

Most stable: run 2

---

Run 1
Material: LiPuN2
Method: DFT, GGA-PBE
State: relaxed

Geometry as CIF:
```
data_LiPuN2
_chemical_formula_sum 'Li1 Pu1 N2'
_cell_length_a 2.870
_cell_length_b 2.870
_cell_length_c 5.790
_cell_angle_alpha 90.00
_cell_angle_beta 90.00
_cell_angle_gamma 90.00
_space_group_name_H-M_alt 'P 4/m m m'
_space_group_IT_number 123
_space_group_name_Hall '-P 4 2'
loop_
_atom_site_label
_atom_site_fract_x
_atom_site_fract_y
_atom_site_fract_z
Li1 0.000 0.000 0.000
Pu1 0.000 0.000 0.500
N1 0.500 0.500 0.279
```

---

Run 2
Material: LiPuN2
Method: DFT, GGA-PBE
State: relaxed

Geometry as CIF:
```
data_LiPuN2
_chemical_formula_sum 'Li3 Pu3 N6'
_cell_length_a 3.4312
_cell_length_b 3.4312
_cell_length_c 16.5689
_cell_angle_alpha 90.00
_cell_angle_beta 90.00
_cell_angle_gamma 120.00
_space_group_name_H-M_alt 'R 3 m'
_space_group_IT_number 160
_space_group_name_Hall 'R 3 -2"'
loop_
_atom_site_label
_atom_site_fract_x
_atom_site_fract_y
_atom_site_fract_z
Li1 0.0000 0.0000 0.0000
Pu1 0.0000 0.0000 0.8103
N1 0.0000 0.0000 0.2013
N2 0.0000 0.0000 0.4096
```

---

Most stable: run 2

---

Run 1
Material: LiPuN2
Method: DFT, GGA-PBE
State: relaxed

Geometry as CIF:
```
data_LiPuN2
_chemical_formula_sum 'Li4 Pu4 N8'
_cell_length_a 4.306
_cell_length_b 4.306
_cell_length_c 11.067
_cell_angle_alpha 90.00
_cell_angle_beta 90.00
_cell_angle_gamma 90.00
_space_group_name_H-M_alt 'I 41/a m d'
_space_group_IT_number 141
loop_
_space_group_symop_operation_xyz
'x,y,z'
'-x,-y,-z'
'-y+1/4,x+3/4,z+1/4'
'y+1/4,-x+3/4,-z+1/4'
'-x+1/2,-y,z+1/2'
'x+1/2,y,-z+1/2'
'y+1/4,-x+1/4,z+3/4'
'-y+1/4,x+1/4,-z+3/4'
'x,-y,-z'
'-x,y,z'
'-y+1/4,-x+1/4,-z+3/4'
'y+1/4,x+1/4,z+3/4'
'-x+1/2,y,-z+1/2'
'x+1/2,-y,z+1/2'
'y+1/4,x+3/4,-z+1/4'
'-y+1/4,-x+3/4,z+1/4'
'x+1/2,y+1/2,z+1/2'
'-x+1/2,-y+1/2,-z+1/2'
'-y+3/4,x+1/4,z+3/4'
'y+3/4,-x+1/4,-z+3/4'
'-x,-y+1/2,z'
'x,y+1/2,-z'
'y+3/4,-x+3/4,z+1/4'
'-y+3/4,x+3/4,-z+1/4'
'x+1/2,-y+1/2,-z+1/2'
'-x+1/2,y+1/2,z+1/2'
'-y+3/4,-x+3/4,-z+1/4'
'y+3/4,x+3/4,z+1/4'
'-x,y+1/2,-z'
'x,-y+1/2,z'
'y+3/4,x+1/4,-z+3/4'
'-y+3/4,-x+1/4,z+3/4'
loop_
_atom_site_label
_atom_site_fract_x
_atom_site_fract_y
_atom_site_fract_z
Li1 0.000 0.250 0.375
Pu1 0.000 0.250 0.875
N1 0.000 0.250 0.082
```

---

Run 2
Material: LiPuN2
Method: DFT, GGA-PBE
State: relaxed

Geometry as CIF:
```
data_LiPuN2
_chemical_formula_sum 'Li2 Pu2 N4'
_cell_length_a 3.402
_cell_length_b 5.637
_cell_length_c 5.177
_cell_angle_alpha 90.00
_cell_angle_beta 90.00
_cell_angle_gamma 90.00
_space_group_name_H-M_alt 'P m m n'
_space_group_IT_number 59
loop_
_space_group_symop_operation_xyz
'x,y,z'
'-x,-y,-z'
'-x+1/2,-y+1/2,z'
'x+1/2,y+1/2,-z'
'x+1/2,-y,-z'
'-x+1/2,y,z'
'-x,y+1/2,-z'
'x,-y+1/2,z'
loop_
_atom_site_label
_atom_site_fract_x
_atom_site_fract_y
_atom_site_fract_z
Li1 0.250 0.250 0.107
Pu1 0.250 0.750 0.386
N1 0.250 0.004 0.713
```

---

Run 3
Material: LiPuN2
Method: DFT, GGA-PBE
State: relaxed

Geometry as CIF:
```
data_LiPuN2
_chemical_formula_sum 'Li3 Pu3 N6'
_cell_length_a 3.4455
_cell_length_b 3.4455
_cell_length_c 14.8628
_cell_angle_alpha 90.00
_cell_angle_beta 90.00
_cell_angle_gamma 120.00
_space_group_name_H-M_alt 'R -3 m'
_space_group_IT_number 166
_space_group_name_Hall '-R 3 2"'
loop_
_atom_site_label
_atom_site_fract_x
_atom_site_fract_y
_atom_site_fract_z
Li1 0.0000 0.0000 0.0000
Pu1 0.0000 0.0000 0.5000
N1 0.0000 0.0000 0.2357
```

---

Most stable: run 1

---

Run 1
Material: Li3PuN3
Method: DFT, GGA-PBE
State: relaxed

Geometry as CIF:
```
data_Li3PuN3
_chemical_formula_sum 'Li3 Pu1 N3'
_cell_length_a 4.320
_cell_length_b 4.320
_cell_length_c 4.320
_cell_angle_alpha 90.00
_cell_angle_beta 90.00
_cell_angle_gamma 90.00
_space_group_name_H-M_alt 'P m -3 m'
_space_group_IT_number 221
_space_group_name_Hall '-P 4 2 3'
loop_
_atom_site_label
_atom_site_fract_x
_atom_site_fract_y
_atom_site_fract_z
Li1 0.000 0.000 0.500
Pu1 0.500 0.500 0.500
N1 0.000 0.500 0.500
```

---

Run 2
Material: Li3PuN3
Method: DFT, GGA-PBE
State: relaxed

Geometry as CIF:
```
data_Li3PuN3
_chemical_formula_sum 'Li18 Pu6 N18'
_cell_length_a 5.9538
_cell_length_b 5.9538
_cell_length_c 15.4729
_cell_angle_alpha 90.00
_cell_angle_beta 90.00
_cell_angle_gamma 120.00
_space_group_name_H-M_alt 'R -3'
_space_group_IT_number 148
_space_group_name_Hall '-R 3'
loop_
_atom_site_label
_atom_site_fract_x
_atom_site_fract_y
_atom_site_fract_z
Li1 0.0232 0.2842 0.1216
Pu1 0.0000 0.0000 0.3312
N1 0.0055 0.3893 0.9243
```

---

Most stable: run 1

---

Run 1
Material: RbLiN2
Method: DFT, GGA-PBE
State: relaxed

Geometry as CIF:
```
data_RbLiN2
_chemical_formula_sum 'Rb3 Li3 N6'
_cell_length_a 3.5720
_cell_length_b 3.5720
_cell_length_c 15.9241
_cell_angle_alpha 90.00
_cell_angle_beta 90.00
_cell_angle_gamma 120.00
_space_group_name_H-M_alt 'R -3 m'
_space_group_IT_number 166
_space_group_name_Hall '-R 3 2"'
loop_
_atom_site_label
_atom_site_fract_x
_atom_site_fract_y
_atom_site_fract_z
Rb1 0.0000 0.0000 0.0000
Li1 0.0000 0.0000 0.5000
N1 0.0000 0.0000 0.1816
```

---

Run 2
Material: RbLiN2
Method: DFT, GGA-PBE
State: relaxed

Geometry as CIF:
```
data_RbLiN2
_chemical_formula_sum 'Rb4 Li4 N8'
_cell_length_a 6.613
_cell_length_b 6.613
_cell_length_c 6.613
_cell_angle_alpha 90.00
_cell_angle_beta 90.00
_cell_angle_gamma 90.00
_space_group_name_H-M_alt 'F m -3 m'
_space_group_IT_number 225
_space_group_name_Hall '-F 4 2 3'
loop_
_atom_site_label
_atom_site_fract_x
_atom_site_fract_y
_atom_site_fract_z
Rb1 0.000 0.000 0.000
Li1 0.000 0.000 0.500
N1 0.250 0.250 0.250
```

---

Most stable: run 1